No. 1
A relaxed CeCdHgSb crystal, computed with PBE.

Calculated values
DOS at the Fermi energy = 6.75 states/eV per cell
ΔE_f (raw) = -352 meV per atom
VASP energy = -3.170 eV per atom

Cell and atoms, written as POSCAR:
```
CeCdHgSb
1.0
5.2953 0.0000 0.0000
2.6476 4.5859 0.0000
2.6476 1.5286 4.3236
Cd Ce Sb Hg
1 1 1 1
direct
0.7500 0.7500 0.7500 Cd
0.2500 0.2500 0.2500 Ce
0.5000 0.5000 0.5000 Sb
0.0000 0.0000 0.0000 Hg
```

***

No. 2
A relaxed SbPbIO2 crystal, computed with PBE.

Calculated values
DOS at the Fermi energy = 0.00 states/eV per cell
ΔE_f (raw) = -1119 meV per atom
VASP energy = -4.979 eV per atom

Cell and atoms, written as POSCAR:
```
SbPbIO2
1.0
-2.8122 -3.1107 0.5649
5.4295 -5.3739 -2.5640
1.1793 0.2992 7.5185
I O Sb Pb
2 4 2 2
direct
0.7500 0.9207 0.2181 I
0.2500 0.0793 0.7819 I
0.2500 0.4482 0.5643 O
0.7500 0.4965 0.8414 O
0.7500 0.5518 0.4357 O
0.2500 0.5035 0.1586 O
0.7500 0.3636 0.5805 Sb
0.2500 0.6364 0.4195 Sb
0.2500 0.6780 0.9399 Pb
0.7500 0.3220 0.0601 Pb
```

***

No. 3
A relaxed MgPt2Au crystal, computed with PBE.

Calculated values
Calculated formation energy = -0.38 eV/atom
DOS at the Fermi energy = 3.69 states/eV per cell
VASP energy = -4.616 eV per atom

Cell and atoms, written as POSCAR:
```
MgPt2Au
1.0
-0.2072 1.9924 -4.0781
-3.6157 -0.6617 -2.6706
-2.9388 3.3892 -0.7259
Pt Au Mg
2 1 1
direct
0.2501 0.2501 0.2498 Pt
0.9999 0.9999 0.0002 Pt
0.5000 0.5000 0.4999 Au
0.7500 0.7500 0.7500 Mg
```

***

No. 4
A relaxed La4Mg2Ni crystal, computed with PBE.

Calculated values
Calculated formation energy = 0.04 eV/atom
DOS at the Fermi energy = 12.39 states/eV per cell
VASP energy = -4.057 eV per atom

Cell and atoms, written as POSCAR:
```
La4Mg2Ni
1.0
-4.3910 3.0206 -0.2154
-3.0202 -4.3407 0.6979
4.0540 1.7636 8.1298
Mg La Ni
2 4 1
direct
0.3695 0.3695 0.7390 Mg
0.6305 0.6305 0.2610 Mg
0.5000 0.0000 0.0000 La
0.0000 0.5000 0.0000 La
0.8244 0.8244 0.6489 La
0.1756 0.1756 0.3511 La
0.0000 0.0000 0.0000 Ni
```

***

No. 5
A relaxed SiMo2Br crystal, computed with PBE.

Calculated values
DOS at the Fermi energy = 4.13 states/eV per cell
ΔE_f (raw) = 510 meV per atom
VASP energy = -6.679 eV per atom

Cell and atoms, written as POSCAR:
```
SiMo2Br
1.0
3.0666 0.0000 0.0000
0.0000 4.4664 0.0000
0.0000 0.0000 4.4664
Si Br Mo
1 1 2
direct
0.5000 0.5000 0.0000 Si
0.5000 0.0000 0.5000 Br
0.0000 0.5000 0.5000 Mo
0.0000 0.0000 0.0000 Mo
```

***

No. 6
A relaxed Tb5SmYTm2 crystal, computed with PBE.

Calculated values
Calculated formation energy = 0.16 eV/atom
DOS at the Fermi energy = 29.03 states/eV per cell
VASP energy = -4.647 eV per atom

Cell and atoms, written as POSCAR:
```
Tb5SmYTm2
1.0
-3.6151 -4.2605 0.2948
8.5401 -3.8808 -4.4600
3.7932 -2.5618 9.4924
Tb Y Tm Sm
10 2 4 2
direct
0.9834 0.9668 0.5240 Tb
0.5218 0.0435 0.2388 Tb
0.7000 0.3999 0.2075 Tb
0.0166 0.0332 0.0240 Tb
0.7199 0.4399 0.8088 Tb
0.4782 0.9565 0.7388 Tb
0.3000 0.6001 0.7075 Tb
0.3918 0.7837 0.0248 Tb
0.2801 0.5601 0.3088 Tb
0.6082 0.2163 0.5248 Tb
0.5875 0.1750 0.9532 Y
0.4125 0.8250 0.4532 Y
0.1102 0.2204 0.7372 Tm
0.1137 0.2274 0.3176 Tm
0.8898 0.7796 0.2372 Tm
0.8863 0.7726 0.8176 Tm
0.8002 0.6003 0.5121 Sm
0.1998 0.3997 0.0121 Sm
```

***

No. 7
A relaxed Ba3NbC crystal, computed with PBE.

Calculated values
Calculated formation energy = 1.82 eV/atom
DOS at the Fermi energy = 5.27 states/eV per cell
VASP energy = -3.196 eV per atom

Cell and atoms, written as POSCAR:
```
Ba3NbC
1.0
-5.1511 2.4866 -1.7013
-2.7007 -2.3168 4.7907
1.3357 4.9052 3.1252
Nb Ba C
1 3 1
direct
0.0000 0.0000 0.0000 Nb
0.5000 0.0000 0.0000 Ba
0.0000 0.0000 0.5000 Ba
0.0000 0.5000 0.0000 Ba
0.5000 0.5000 0.5000 C
```

***

No. 8
A relaxed Mg2CN crystal, computed with PBE.

Calculated values
DOS at the Fermi energy = 1.03 states/eV per cell
ΔE_f (raw) = -204 meV per atom
VASP energy = -5.389 eV per atom

Cell and atoms, written as POSCAR:
```
Mg2CN
1.0
7.8195 0.0000 -0.0013
0.0000 3.2238 0.0000
-7.4622 0.0000 7.9672
Mg C N
8 4 4
direct
0.8350 0.5000 0.3248 Mg
0.6222 0.5000 0.4652 Mg
0.8350 0.0000 0.8248 Mg
0.3968 0.0000 0.1485 Mg
0.6222 0.0000 0.9652 Mg
0.0479 0.5000 0.1329 Mg
0.3968 0.5000 0.6485 Mg
0.0479 0.0000 0.6329 Mg
0.2134 0.5000 0.8853 C
0.9878 0.5000 0.7567 C
0.9878 0.0000 0.2567 C
0.2134 0.0000 0.3853 C
0.7206 0.0000 0.3893 N
0.4364 0.0000 0.5134 N
0.7206 0.5000 0.8893 N
0.4364 0.5000 0.0134 N
```

***

No. 9
A relaxed NbNiGe crystal, computed with PBE.

Calculated values
Calculated formation energy = -0.23 eV/atom
DOS at the Fermi energy = 2.20 states/eV per cell
VASP energy = -7.048 eV per atom

Cell and atoms, written as POSCAR:
```
NbNiGe
1.0
2.9487 0.0000 0.0000
0.0000 2.9487 0.0000
-1.4744 -1.4744 5.0039
Ge Nb Ni
1 1 1
direct
0.9275 0.9275 0.8550 Ge
0.6202 0.6202 0.2404 Nb
0.3023 0.3023 0.6045 Ni
```

***

No. 10
A relaxed Nd4Tl2Au crystal, computed with PBE.

Calculated values
Calculated formation energy = -0.33 eV/atom
DOS at the Fermi energy = 10.09 states/eV per cell
VASP energy = -4.201 eV per atom

Cell and atoms, written as POSCAR:
```
Nd4Tl2Au
1.0
5.1576 0.0000 1.6113
2.3271 4.6028 1.6113
-0.0802 -0.0493 9.3167
Nd Tl Au
4 2 1
direct
0.8783 0.8783 0.3652 Nd
0.6275 0.6275 0.1176 Nd
0.1217 0.1217 0.6348 Nd
0.3725 0.3725 0.8824 Nd
0.2451 0.2451 0.2647 Tl
0.7549 0.7549 0.7353 Tl
0.0000 0.0000 0.0000 Au
```

***

No. 11
A relaxed TiGeAu2 crystal, computed with PBE.

Calculated values
Calculated formation energy = -0.11 eV/atom
DOS at the Fermi energy = 6.63 states/eV per cell
VASP energy = -4.874 eV per atom

Cell and atoms, written as POSCAR:
```
TiGeAu2
1.0
3.8383 0.0000 0.0000
0.0000 3.8383 0.0000
1.9192 1.9192 10.0775
Ge Ti Au
2 2 4
direct
0.0000 0.0000 0.0000 Ge
0.7500 0.2500 0.5000 Ge
0.2500 0.7500 0.5000 Ti
0.5000 0.5000 0.0000 Ti
0.1243 0.6250 0.2500 Au
0.8750 0.8757 0.7500 Au
0.6257 0.1250 0.2500 Au
0.3750 0.3743 0.7500 Au
```

***

No. 12
A relaxed CoCuHg4 crystal, computed with PBE.

Calculated values
Calculated formation energy = 0.82 eV/atom
DOS at the Fermi energy = 8.39 states/eV per cell
VASP energy = -1.252 eV per atom

Cell and atoms, written as POSCAR:
```
CoCuHg4
1.0
0.0000 4.0347 4.0347
4.0347 0.0000 4.0347
4.0347 4.0347 0.0000
Hg Co Cu
4 1 1
direct
0.3751 0.3751 0.8746 Hg
0.3751 0.8746 0.3751 Hg
0.8746 0.3751 0.3751 Hg
0.3751 0.3751 0.3751 Hg
0.7500 0.7500 0.7500 Co
0.0000 0.0000 0.0000 Cu
```

***

Q: Among the records above, which one has the highest VASP energy?
A: CoCuHg4

***

Q: Which of these has the lowest VASP energy?
A: NbNiGe

***

Please write out number 1 again, unchanged.
A relaxed CeCdHgSb crystal, computed with PBE.

Calculated values
DOS at the Fermi energy = 6.75 states/eV per cell
ΔE_f (raw) = -352 meV per atom
VASP energy = -3.170 eV per atom

Cell and atoms, written as POSCAR:
```
CeCdHgSb
1.0
5.2953 0.0000 0.0000
2.6476 4.5859 0.0000
2.6476 1.5286 4.3236
Cd Ce Sb Hg
1 1 1 1
direct
0.7500 0.7500 0.7500 Cd
0.2500 0.2500 0.2500 Ce
0.5000 0.5000 0.5000 Sb
0.0000 0.0000 0.0000 Hg
```

***

Q: VASP energy of number 8 (Mg2CN)?
A: -5.389 eV per atom